*A*
# PmMg (GGA-PBE, relaxed)
# total magnetization = 0.01 μB per atom
# density = 4786 kg/m³
data_PmMg
_chemical_formula_sum 'Pm3 Mg3'
_cell_length_a 3.4703
_cell_length_b 3.4703
_cell_length_c 16.8974
_cell_angle_alpha 90.00
_cell_angle_beta 90.00
_cell_angle_gamma 120.00
_symmetry_space_group_name_H-M 'P -6 m 2'
_symmetry_Int_Tables_number 187
_symmetry_space_group_name_Hall 'P -6 2'
loop_
_atom_site_label
_atom_site_fract_x
_atom_site_fract_y
_atom_site_fract_z
Pm1 0.0000 0.0000 0.0000
Pm2 0.3333 0.6667 0.1822
Mg1 0.0000 0.0000 0.3502
Mg2 0.3333 0.6667 0.5000

=====

*B*
# PmMg (GGA-PBE, relaxed)
# total magnetization = 0.02 μB per atom
# density = 4330 kg/m³
data_PmMg
_chemical_formula_sum 'Pm2 Mg2'
_cell_length_a 5.2957
_cell_length_b 5.2957
_cell_length_c 5.3462
_cell_angle_alpha 90.00
_cell_angle_beta 90.00
_cell_angle_gamma 120.00
_symmetry_space_group_name_H-M 'P 63/m m c'
_symmetry_Int_Tables_number 194
_symmetry_space_group_name_Hall '-P 6c 2c'
loop_
_atom_site_label
_atom_site_fract_x
_atom_site_fract_y
_atom_site_fract_z
Pm1 0.3333 0.6667 0.2500
Mg1 0.0000 0.0000 0.0000

=====

What is the stability order? It is *A*, *B*, from most stable to least stable.